Material: ReMoS2N
Method: DFT, PBE
State: optimized geometry

Cell: 4.8122 4.8122 3.7585 Å, 90.00 90.00 90.00°
With the nearest neighbours (Å) after each atom.
Space group P4/mmm (No. 123)
Symmetry-distinct sites (fractional):
Re 0.0000 0.0000 0.0000 x1  8 S 3.05, 4 N 3.40
Mo 0.5000 0.5000 0.5000 x1  2 N 1.88
S 0.0000 0.5000 0.5000 x2  2 Mo 2.41
N 0.5000 0.5000 0.0000 x1  2 Mo 1.88

Results
- Formation energy (no corrections): 1.02 eV per atom
- Distance to the lowest polymorph of the same formula: 315 meV per atom
- Total magnetization: 4.371 Bohr magnetons per cell